Density functional theory data (GGA-PBE) for CuRe4Sb after structural relaxation.

Uncorrected formation energy: 4.72 eV per formula unit
N(E_F): 1.110 states/eV per atom
Magnetic moment: 0.00 μB/cell
Symmetry: No. 216
DFT total energy: -8.883 eV/atom
Calculated volume: 17.08 Å³/atom

Cell and atoms, written as POSCAR:
```
CuRe4Sb
1.0
0.000 3.714 3.714
3.714 0.000 3.714
3.714 3.714 0.000
Re Sb Cu
4 1 1
Direct
0.374 0.878 0.374
0.374 0.374 0.878
0.374 0.374 0.374
0.878 0.374 0.374
0.750 0.750 0.750
0.000 0.000 0.000
```

=====

Density functional theory data (GGA-PBE) for Rb3InSe3 after structural relaxation.

Uncorrected formation energy: -7.36 eV per formula unit
N(E_F): 0.000 states/eV per atom
Magnetic moment: 0.00 μB/cell
Symmetry: No. 12
DFT total energy: -3.351 eV/atom
Calculated volume: 39.32 Å³/atom

Cell and atoms, written as POSCAR:
```
Rb3InSe3
1.0
-7.909 -2.895 -1.643
1.739 0.624 8.380
-1.746 8.043 -1.143
Se In Rb
6 2 6
Direct
0.103 0.103 0.819
0.897 0.897 0.181
0.548 0.846 0.722
0.846 0.548 0.722
0.154 0.452 0.278
0.452 0.154 0.278
0.824 0.824 0.852
0.176 0.176 0.148
0.177 0.823 0.500
0.609 0.609 0.353
0.759 0.241 0.000
0.823 0.177 0.500
0.391 0.391 0.647
0.241 0.759 0.000
```

=====

Density functional theory data (GGA-PBE) for Li3SmCd2 after structural relaxation.

N(E_F): 0.624 states/eV per atom
Magnetic moment: 0.00 μB/cell
Symmetry: No. 12
DFT total energy: -2.225 eV/atom
Calculated volume: 21.70 Å³/atom

Cell and atoms, written as POSCAR:
```
Li3SmCd2
1.0
-0.326 0.332 4.536
-3.703 -6.175 -2.106
9.828 0.583 0.664
Cd Li Sm
4 6 2
Direct
0.814 0.628 0.277
0.423 0.845 0.797
0.577 0.155 0.203
0.186 0.372 0.723
0.941 0.883 0.618
0.272 0.543 0.429
0.728 0.457 0.571
0.059 0.117 0.382
0.562 0.124 0.675
0.438 0.876 0.325
0.860 0.719 0.985
0.140 0.281 0.015
```